(1)
This record from Alexandria describes an optimized crystal structure of TeAs2. The functional is PBEsol.

Values from the calculation:
The total magnetic moment is 0.00 μB/f.u. The calculation puts the density at 6.4 Mg/m³. The calculation puts the density of states at the Fermi level at 1.61 states/eV/f.u. As for the formation energy from raw total energies: 0.30 eV/atom.

Geometry as CIF:
```
data_TeAs2
_chemical_formula_sum 'Te1 As2'
_space_group_name_H-M_alt 'P 1'
_space_group_IT_number 1
_cell_length_a 3.920
_cell_length_b 3.920
_cell_length_c 4.717
_cell_angle_alpha 90.00
_cell_angle_beta 90.00
_cell_angle_gamma 90.00
loop_
_space_group_symop_operation_xyz
'x,y,z'
loop_
_atom_site_label
_atom_site_type_symbol
_atom_site_fract_x
_atom_site_fract_y
_atom_site_fract_z
Te1 Te 0.000 0.000 0.000
As1 As 0.000 0.500 0.500
As2 As 0.500 0.000 0.500
```

(2)
This record from Alexandria describes an optimized crystal structure of SrTl2Cr. The functional is PBEsol.

Values from the calculation:
The value obtained for the energy of formation is 0.2732 eV/atom. The total magnetic moment is 3.97 μB/f.u. The calculation puts the density at 8.3 Mg/m³. The calculation puts the density of states at the Fermi level at 2.29 states/eV/f.u.

Geometry as CIF:
```
data_SrTl2Cr
_chemical_formula_sum 'Sr1 Tl2 Cr1'
_space_group_name_H-M_alt 'P 1'
_space_group_IT_number 1
_cell_length_a 7.442
_cell_length_b 7.442
_cell_length_c 7.442
_cell_angle_alpha 150.24
_cell_angle_beta 147.31
_cell_angle_gamma 44.79
loop_
_space_group_symop_operation_xyz
'x,y,z'
loop_
_atom_site_label
_atom_site_type_symbol
_atom_site_fract_x
_atom_site_fract_y
_atom_site_fract_z
Sr1 Sr 0.000 0.000 0.000
Tl1 Tl 0.298 0.798 0.500
Tl2 Tl 0.627 0.627 0.000
Cr1 Cr 0.785 0.285 0.500
```

(3)
This record from Alexandria describes an optimized crystal structure of Sc3Ta. The functional is PBEsol.

Values from the calculation:
The value obtained for the energy of formation is 0.1300 eV/atom. The total magnetic moment is 0.00 μB/f.u. The calculation puts the density at 6.2 Mg/m³. The calculation puts the density of states at the Fermi level at 5.39 states/eV/f.u.

Geometry as CIF:
```
data_Sc3Ta
_chemical_formula_sum 'Sc3 Ta1'
_space_group_name_H-M_alt 'P 1'
_space_group_IT_number 1
_cell_length_a 5.864
_cell_length_b 5.864
_cell_length_c 5.864
_cell_angle_alpha 149.30
_cell_angle_beta 65.14
_cell_angle_gamma 124.10
loop_
_space_group_symop_operation_xyz
'x,y,z'
loop_
_atom_site_label
_atom_site_type_symbol
_atom_site_fract_x
_atom_site_fract_y
_atom_site_fract_z
Sc1 Sc 0.000 0.000 0.000
Sc2 Sc 0.084 0.329 0.755
Sc3 Sc 0.573 0.329 0.245
Ta1 Ta 0.503 0.003 0.500
```

(4)
This record from Alexandria describes an optimized crystal structure of ScTa2Rh. The functional is PBEsol.

Values from the calculation:
The value obtained for the energy of formation is -0.0186 eV/atom. The total magnetic moment is 0.00 μB/f.u. The calculation puts the density at 12.3 Mg/m³. The calculation puts the density of states at the Fermi level at 4.52 states/eV/f.u.

Geometry as CIF:
```
data_ScTa2Rh
_chemical_formula_sum 'Sc1 Ta2 Rh1'
_space_group_name_H-M_alt 'P 1'
_space_group_IT_number 1
_cell_length_a 2.884
_cell_length_b 4.453
_cell_length_c 5.359
_cell_angle_alpha 90.00
_cell_angle_beta 90.00
_cell_angle_gamma 90.00
loop_
_space_group_symop_operation_xyz
'x,y,z'
loop_
_atom_site_label
_atom_site_type_symbol
_atom_site_fract_x
_atom_site_fract_y
_atom_site_fract_z
Sc1 Sc 0.000 0.000 0.000
Ta1 Ta 0.500 0.500 0.252
Ta2 Ta 0.500 0.500 0.748
Rh1 Rh 0.000 0.000 0.500
```

(5)
This record from Alexandria describes an optimized crystal structure of MnGe4H24C8S10N2. The functional is PBEsol.

Values from the calculation:
Its total energy is -5.27 eV/atom. The total magnetic moment is 5.00 μB/f.u. The calculation puts the density at 2.1 Mg/m³.

Geometry as CIF:
```
data_MnGe4H24C8S10N2
_chemical_formula_sum 'Mn1 Ge4 H24 C8 S10 N2'
_space_group_name_H-M_alt 'P 1'
_space_group_IT_number 1
_cell_length_a 9.779
_cell_length_b 9.779
_cell_length_c 9.779
_cell_angle_alpha 122.49
_cell_angle_beta 122.49
_cell_angle_gamma 85.74
loop_
_space_group_symop_operation_xyz
'x,y,z'
loop_
_atom_site_label
_atom_site_type_symbol
_atom_site_fract_x
_atom_site_fract_y
_atom_site_fract_z
Mn1 Mn 0.000 0.000 0.000
Ge1 Ge 0.483 0.093 0.254
Ge2 Ge 0.770 0.517 0.610
Ge3 Ge 0.840 0.230 0.746
Ge4 Ge 0.907 0.160 0.390
H1 H 0.003 0.581 0.291
H2 H 0.019 0.787 0.334
H3 H 0.045 0.769 0.522
H4 H 0.213 0.548 0.232
H5 H 0.231 0.752 0.276
H6 H 0.242 0.439 0.890
H7 H 0.248 0.523 0.478
H8 H 0.288 0.997 0.578
H9 H 0.289 0.712 0.709
H10 H 0.315 0.981 0.768
H11 H 0.336 0.380 0.686
H12 H 0.349 0.664 0.044
H13 H 0.395 0.240 0.843
H14 H 0.398 0.552 0.157
H15 H 0.419 0.711 0.422
H16 H 0.448 0.605 0.845
H17 H 0.452 0.685 0.666
H18 H 0.477 0.955 0.724
H19 H 0.549 0.352 0.110
H20 H 0.561 0.451 0.803
H21 H 0.620 0.305 0.956
H22 H 0.648 0.758 0.197
H23 H 0.695 0.651 0.314
H24 H 0.760 0.602 0.155
C1 C 0.065 0.719 0.404
C2 C 0.281 0.685 0.345
C3 C 0.315 0.660 0.596
C4 C 0.340 0.935 0.655
C5 C 0.362 0.542 0.024
C6 C 0.458 0.482 0.820
C7 C 0.518 0.338 0.976
C8 C 0.662 0.638 0.180
S1 S 0.001 0.133 0.638
S2 S 0.081 0.072 0.313
S3 S 0.231 0.919 0.991
S4 S 0.495 0.363 0.362
S5 S 0.567 0.067 0.500
S6 S 0.637 0.999 0.132
S7 S 0.759 0.769 0.687
S8 S 0.867 0.505 0.868
S9 S 0.928 0.241 0.009
S10 S 0.933 0.433 0.500
N1 N 0.250 0.750 0.500
N2 N 0.500 0.500 0.000
```

(6)
This record from Alexandria describes an optimized crystal structure of MnCrFe2. The functional is PBEsol.

Values from the calculation:
The value obtained for the energy of formation is 0.0775 eV/atom. The total magnetic moment is 4.79 μB/f.u. The calculation puts the density at 8.4 Mg/m³. The calculation puts the density of states at the Fermi level at 4.68 states/eV/f.u.

Geometry as CIF:
```
data_MnCrFe2
_chemical_formula_sum 'Mn1 Cr1 Fe2'
_space_group_name_H-M_alt 'P 1'
_space_group_IT_number 1
_cell_length_a 2.402
_cell_length_b 2.402
_cell_length_c 7.890
_cell_angle_alpha 90.00
_cell_angle_beta 90.00
_cell_angle_gamma 108.93
loop_
_space_group_symop_operation_xyz
'x,y,z'
loop_
_atom_site_label
_atom_site_type_symbol
_atom_site_fract_x
_atom_site_fract_y
_atom_site_fract_z
Mn1 Mn 0.000 0.000 0.000
Cr1 Cr 0.500 0.500 0.246
Fe1 Fe 0.000 0.000 0.497
Fe2 Fe 0.500 0.500 0.748
```

(7)
This record from Alexandria describes an optimized crystal structure of Si2GeHPt. The functional is PBEsol.

Values from the calculation:
Its total energy is -5.03 eV/atom. The total magnetic moment is 0.00 μB/f.u. The calculation puts the density at 8.4 Mg/m³. The calculation puts the density of states at the Fermi level at 1.99 states/eV/f.u.

Geometry as CIF:
```
data_Si2GeHPt
_chemical_formula_sum 'Si2 Ge1 H1 Pt1'
_space_group_name_H-M_alt 'P 1'
_space_group_IT_number 1
_cell_length_a 3.989
_cell_length_b 3.989
_cell_length_c 4.050
_cell_angle_alpha 90.00
_cell_angle_beta 90.00
_cell_angle_gamma 90.00
loop_
_space_group_symop_operation_xyz
'x,y,z'
loop_
_atom_site_label
_atom_site_type_symbol
_atom_site_fract_x
_atom_site_fract_y
_atom_site_fract_z
Si1 Si 0.000 0.500 0.000
Si2 Si 0.500 0.000 0.000
Ge1 Ge 0.000 0.000 0.500
H1 H 0.000 0.000 0.000
Pt1 Pt 0.500 0.500 0.500
```

(8)
This record from Alexandria describes an optimized crystal structure of NbAg2Os. The functional is PBEsol.

Values from the calculation:
The value obtained for the energy of formation is 0.7256 eV/atom. The total magnetic moment is 0.00 μB/f.u. The calculation puts the density at 13.0 Mg/m³. The calculation puts the density of states at the Fermi level at 4.18 states/eV/f.u.

Geometry as CIF:
```
data_NbAg2Os
_chemical_formula_sum 'Nb1 Ag2 Os1'
_space_group_name_H-M_alt 'P 1'
_space_group_IT_number 1
_cell_length_a 4.489
_cell_length_b 4.489
_cell_length_c 4.489
_cell_angle_alpha 60.00
_cell_angle_beta 60.00
_cell_angle_gamma 60.00
loop_
_space_group_symop_operation_xyz
'x,y,z'
loop_
_atom_site_label
_atom_site_type_symbol
_atom_site_fract_x
_atom_site_fract_y
_atom_site_fract_z
Nb1 Nb 0.000 0.000 0.000
Ag1 Ag 0.250 0.250 0.250
Ag2 Ag 0.750 0.750 0.750
Os1 Os 0.500 0.500 0.500
```

(9)
This record from Alexandria describes an optimized crystal structure of TaH3W. The functional is PBEsol.

Values from the calculation:
Its total energy is -6.67 eV/atom. The total magnetic moment is 0.00 μB/f.u. The calculation puts the density at 14.4 Mg/m³. The calculation puts the density of states at the Fermi level at 2.70 states/eV/f.u.

Geometry as CIF:
```
data_TaH3W
_chemical_formula_sum 'Ta1 H3 W1'
_space_group_name_H-M_alt 'P 1'
_space_group_IT_number 1
_cell_length_a 3.485
_cell_length_b 3.485
_cell_length_c 3.485
_cell_angle_alpha 90.00
_cell_angle_beta 90.00
_cell_angle_gamma 90.00
loop_
_space_group_symop_operation_xyz
'x,y,z'
loop_
_atom_site_label
_atom_site_type_symbol
_atom_site_fract_x
_atom_site_fract_y
_atom_site_fract_z
Ta1 Ta 0.000 0.000 0.000
H1 H 0.000 0.000 0.500
H2 H 0.000 0.500 0.000
H3 H 0.500 0.000 0.000
W1 W 0.500 0.500 0.500
```

(10)
This record from Alexandria describes an optimized crystal structure of SiBr3. The functional is PBEsol.

Values from the calculation:
The total magnetic moment is 0.00 μB/f.u. The calculation puts the density at 3.1 Mg/m³. The calculation puts the density of states at the Fermi level at 0.00 states/eV/f.u. As for the formation energy from raw total energies: -0.72 eV/atom.

Geometry as CIF:
```
data_SiBr3
_chemical_formula_sum 'Si2 Br6'
_space_group_name_H-M_alt 'P 1'
_space_group_IT_number 1
_cell_length_a 6.730
_cell_length_b 6.730
_cell_length_c 7.619
_cell_angle_alpha 98.73
_cell_angle_beta 98.73
_cell_angle_gamma 119.85
loop_
_space_group_symop_operation_xyz
'x,y,z'
loop_
_atom_site_label
_atom_site_type_symbol
_atom_site_fract_x
_atom_site_fract_y
_atom_site_fract_z
Si1 Si 0.046 0.046 0.161
Si2 Si 0.954 0.954 0.839
Br1 Br 0.077 0.388 0.266
Br2 Br 0.240 0.240 0.756
Br3 Br 0.388 0.077 0.266
Br4 Br 0.612 0.923 0.734
Br5 Br 0.760 0.760 0.244
Br6 Br 0.923 0.612 0.734
```